# 1
Material: CaTl3Tc
Method: DFT, PBE
State: relaxed

**E**: -18.094 eV per cell
**Energy of formation**: 0.27 eV/atom
**Offset from the most stable computed form**: 0 meV/atom
**SG**: Pm-3m

a = 5.324 Å, b = 5.324 Å, c = 5.324 Å
α = 90.00°, β = 90.00°, γ = 90.00°
Sites, in units of the cell vectors:
Ca 0.000 0.000 0.000
Tl 0.000 0.500 0.500
Tl 0.500 0.000 0.500
Tl 0.500 0.500 0.000
Tc 0.500 0.500 0.500

***

# 2
Material: CaTlTc2
Method: DFT, PBE
State: relaxed

**E**: -24.427 eV per cell
**Energy of formation**: 0.17 eV/atom
**Offset from the most stable computed form**: 0 meV/atom
**SG**: P4mm

a = 3.137 Å, b = 3.137 Å, c = 8.326 Å
α = 90.00°, β = 90.00°, γ = 90.00°
Sites, in units of the cell vectors:
Ca 0.000 0.000 0.000
Tl 0.500 0.500 0.685
Tc 0.000 0.000 0.423
Tc 0.500 0.500 0.272

***

# 3
Material: CaTlTc2W
Method: DFT, PBE
State: relaxed

**E**: -31.662 eV per cell
**Energy of formation**: 1.28 eV/atom
**SG**: P4/mmm

a = 4.719 Å, b = 4.719 Å, c = 5.611 Å
α = 90.00°, β = 90.00°, γ = 90.00°
Sites, in units of the cell vectors:
Ca 0.000 0.000 0.000
Tl 0.500 0.500 0.000
Tc 0.000 0.500 0.500
Tc 0.500 0.000 0.500
W 0.000 0.000 0.500

***

# 4
Material: CaTmTc4
Method: DFT, PBE
State: relaxed

**E**: -47.795 eV per cell
**Energy of formation**: 0.02 eV/atom
**SG**: F-43m

a = 5.385 Å, b = 5.385 Å, c = 5.385 Å
α = 60.00°, β = 60.00°, γ = 60.00°
Sites, in units of the cell vectors:
Ca 0.000 0.000 0.000
Tm 0.750 0.750 0.750
Tc 0.375 0.375 0.375
Tc 0.375 0.375 0.875
Tc 0.375 0.875 0.375
Tc 0.875 0.375 0.375

***

# 5
Material: CaTm3Tc
Method: DFT, PBE
State: relaxed

**E**: -25.576 eV per cell
**Energy of formation**: 0.04 eV/atom
**SG**: Pm-3m

a = 5.379 Å, b = 5.379 Å, c = 5.379 Å
α = 90.00°, β = 90.00°, γ = 90.00°
Sites, in units of the cell vectors:
Ca 0.000 0.000 0.000
Tm 0.000 0.500 0.500
Tm 0.500 0.000 0.500
Tm 0.500 0.500 0.000
Tc 0.500 0.500 0.500

***

# 6
Material: CaV2Tc2
Method: DFT, PBE
State: relaxed

**E**: -79.867 eV per cell
**Energy of formation**: 0.21 eV/atom
**Offset from the most stable computed form**: 67 meV/atom
**SG**: P4/mbm

a = 7.597 Å, b = 7.597 Å, c = 2.881 Å
α = 90.00°, β = 90.00°, γ = 90.00°
Sites, in units of the cell vectors:
Ca 0.000 0.000 0.000
Ca 0.500 0.500 0.000
V 0.137 0.363 0.000
V 0.363 0.863 0.000
V 0.637 0.137 0.000
V 0.863 0.637 0.000
Tc 0.148 0.648 0.500
Tc 0.352 0.148 0.500
Tc 0.648 0.852 0.500
Tc 0.852 0.352 0.500

***

# 7
Material: CaV3Tc
Method: DFT, PBE
State: relaxed

**E**: -35.688 eV per cell
**Energy of formation**: 0.81 eV/atom
**Offset from the most stable computed form**: 0 meV/atom
**SG**: Pm-3m

a = 4.652 Å, b = 4.652 Å, c = 4.652 Å
α = 90.00°, β = 90.00°, γ = 90.00°
Sites, in units of the cell vectors:
Ca 0.000 0.000 0.000
V 0.000 0.500 0.500
V 0.500 0.000 0.500
V 0.500 0.500 0.000
Tc 0.500 0.500 0.500

***

# 8
Material: CaV2Tc2
Method: DFT, PBE
State: relaxed

**E**: -40.267 eV per cell
**Energy of formation**: 0.14 eV/atom
**Offset from the most stable computed form**: 0 meV/atom
**SG**: I4/mmm

a = 6.205 Å, b = 6.205 Å, c = 6.205 Å
α = 141.64°, β = 141.64°, γ = 55.38°
Sites, in units of the cell vectors:
Ca 0.000 0.000 0.000
V 0.250 0.750 0.500
V 0.750 0.250 0.500
Tc 0.377 0.377 0.000
Tc 0.623 0.623 0.000